Entry 1:
# PBE Pr3Al2SnPt9, relaxed
# Energy of formation from the pure elements: -11.98 eV/f.u.
# Space group: P-3m1, No. 164
data_Pr3Al2SnPt9
_symmetry_space_group_name_H-M 'P 1'
_symmetry_Int_Tables_number 1
_symmetry_space_group_name_Hall 'P 1'
_cell_length_a 5.721
_cell_length_b 5.721
_cell_length_c 11.969
_cell_angle_alpha 90.00
_cell_angle_beta 90.00
_cell_angle_gamma 120.00
loop_
_atom_site_label
_atom_site_type_symbol
_atom_site_fract_x
_atom_site_fract_y
_atom_site_fract_z
Pr1 Pr 0.000 0.000 0.000
Pr2 Pr 0.333 0.667 0.765
Pr3 Pr 0.667 0.333 0.235
Al1 Al 0.333 0.667 0.162
Al2 Al 0.667 0.333 0.838
Sn1 Sn 0.000 0.000 0.500
Pt1 Pt 0.000 0.500 0.000
Pt2 Pt 0.166 0.332 0.318
Pt3 Pt 0.166 0.834 0.318
Pt4 Pt 0.332 0.166 0.682
Pt5 Pt 0.500 0.000 0.000
Pt6 Pt 0.500 0.500 0.000
Pt7 Pt 0.668 0.834 0.318
Pt8 Pt 0.834 0.166 0.682
Pt9 Pt 0.834 0.668 0.682

***

Entry 2:
# PBE Ho3GeS2, relaxed
# E_form (uncorrected): -1.68 eV per atom
# Space group: Immm, No. 71
data_Ho3GeS2
_symmetry_space_group_name_H-M 'P 1'
_symmetry_Int_Tables_number 1
_symmetry_space_group_name_Hall 'P 1'
_cell_length_a 6.878
_cell_length_b 6.878
_cell_length_c 6.878
_cell_angle_alpha 146.18
_cell_angle_beta 131.72
_cell_angle_gamma 60.25
loop_
_atom_site_label
_atom_site_type_symbol
_atom_site_fract_x
_atom_site_fract_y
_atom_site_fract_z
Ho1 Ho 0.000 0.000 0.000
Ho2 Ho 0.333 0.333 0.000
Ho3 Ho 0.667 0.667 0.000
Ge1 Ge 0.500 0.000 0.500
S1 S 0.167 0.667 0.500
S2 S 0.833 0.333 0.500

***

no.,size of the total moment (μB per atom)
1,0.000
2,0.000